[1]
## Tl (PBE)

Data for a relaxed Tl crystal.

Unit cell a=5.336 b=5.336 c=6.240 alpha=90.00 beta=90.00 gamma=120.00
Fractional coordinates of all 4 atoms:
Tl  0.000  0.000  0.250
Tl  0.000  0.000  0.750
Tl  0.333  0.667  0.250
Tl  0.667  0.333  0.750

Values from the calculation:
For the density of states at the Fermi level, the calculation gives 2.1 states/eV/cell.

[2]
## NdZn2Pd5Au (PBE)

Data for a relaxed NdZn2Pd5Au crystal.

Unit cell a=4.662 b=4.662 c=7.487 alpha=90.00 beta=90.00 gamma=90.00
Fractional coordinates of all 9 atoms:
Nd  0.000  0.000  0.000
Zn  0.500  0.500  0.344
Zn  0.500  0.500  0.656
Pd  0.000  0.500  0.251
Pd  0.000  0.500  0.749
Pd  0.500  0.000  0.251
Pd  0.500  0.000  0.749
Pd  0.500  0.500  0.000
Au  0.000  0.000  0.500

Values from the calculation:
For the density of states at the Fermi level, the calculation gives 2.4 states/eV/cell.

[3]
## Li7Tb3Au4 (PBE)

Data for a relaxed Li7Tb3Au4 crystal.

Unit cell a=8.127 b=8.127 c=10.411 alpha=123.30 beta=123.30 gamma=29.73
Fractional coordinates of all 14 atoms:
Li  0.000  0.000  0.000
Li  0.167  0.167  0.934
Li  0.325  0.325  0.496
Li  0.480  0.480  0.183
Li  0.520  0.520  0.817
Li  0.675  0.675  0.504
Li  0.833  0.833  0.066
Tb  0.000  0.000  0.500
Tb  0.297  0.297  0.774
Tb  0.703  0.703  0.226
Au  0.105  0.105  0.316
Au  0.346  0.346  0.253
Au  0.654  0.654  0.747
Au  0.895  0.895  0.684

Values from the calculation:
For the density of states at the Fermi level, the calculation gives 6.6 states/eV/cell.

[4]
## TlRh2 (PBE)

Data for a relaxed TlRh2 crystal.

Unit cell a=4.633 b=4.633 c=5.485 alpha=90.00 beta=90.00 gamma=120.00
Fractional coordinates of all 6 atoms:
Tl  0.333  0.667  0.250
Tl  0.667  0.333  0.750
Rh  0.000  0.000  0.000
Rh  0.000  0.000  0.500
Rh  0.333  0.667  0.750
Rh  0.667  0.333  0.250

Values from the calculation:
For the density of states at the Fermi level, the calculation gives 8.1 states/eV/cell.

[5]
## InSn6Te8 (PBE)

Data for a relaxed InSn6Te8 crystal.

Unit cell a=11.376 b=11.376 c=4.584 alpha=90.00 beta=90.00 gamma=120.00
Fractional coordinates of all 15 atoms:
In  0.000  0.000  0.000
Sn  0.133  0.656  0.251
Sn  0.344  0.477  0.251
Sn  0.477  0.133  0.749
Sn  0.523  0.867  0.251
Sn  0.656  0.523  0.749
Sn  0.867  0.344  0.749
Te  0.033  0.326  0.246
Te  0.293  0.967  0.246
Te  0.326  0.293  0.754
Te  0.333  0.667  0.752
Te  0.667  0.333  0.248
Te  0.674  0.707  0.246
Te  0.707  0.033  0.754
Te  0.967  0.674  0.754

Values from the calculation:
For the density of states at the Fermi level, the calculation gives 5.6 states/eV/cell. The raw formation energy comes out at -4.29 kcal/mol of atoms.

[6]
## Sr2HgH (PBE)

Data for a relaxed Sr2HgH crystal.

Unit cell a=4.110 b=4.110 c=23.627 alpha=90.00 beta=90.00 gamma=120.00
Fractional coordinates of all 12 atoms:
Sr  0.000  0.000  0.000
Sr  0.000  0.000  0.197
Sr  0.333  0.667  0.667
Sr  0.333  0.667  0.864
Sr  0.667  0.333  0.333
Sr  0.667  0.333  0.530
Hg  0.000  0.000  0.431
Hg  0.333  0.667  0.097
Hg  0.667  0.333  0.764
H  0.000  0.000  0.603
H  0.333  0.667  0.270
H  0.667  0.333  0.936

Values from the calculation:
For the density of states at the Fermi level, the calculation gives 8.8 states/eV/cell.

The electronic total energy results, record by record, are as follows: -2.137, -4.410, -3.357, -5.479, -3.645, -2.055 eV/atom.